Compound: Lu2TlCd
Source: Alexandria
Functional: PBE-GGA
Structure: relaxed

raw total energy = -3.26 eV/atom
space group = R-3m, No. 166

Geometry as CIF:
```
data_Lu2TlCd
_cell_length_a 9.879
_cell_length_b 9.879
_cell_length_c 9.879
_cell_angle_alpha 20.99
_cell_angle_beta 20.99
_cell_angle_gamma 20.99
_space_group_name_H-M_alt 'P 1'
_space_group_IT_number 1
loop_
_space_group_symop_operation_xyz
'x,y,z'
loop_
_atom_site_label
_atom_site_type_symbol
_atom_site_fract_x
_atom_site_fract_y
_atom_site_fract_z
Lu1 Lu 0.250 0.250 0.250
Lu2 Lu 0.750 0.750 0.750
Tl1 Tl 0.500 0.500 0.500
Cd1 Cd 0.000 0.000 0.000
```